Record 1
# NbGa2IrF

An optimized crystal structure of NbGa2IrF (PBE, Alexandria via LeMat-Bulk).

Summary:
formation energy without anion corrections	0.67	eV per atom
theoretical density	5.7	Mg/m³

Unit cell a=5.2906 b=5.2906 c=4.6404 alpha=90.00 beta=90.00 gamma=90.00
Last column: nearest neighbours and their distance in Å.
Space group P4/mmm (No. 123)
One atom of each set of equivalent atoms:
Nb 0.0000 0.0000 0.0000 [1 per cell]  2 Ir 2.32
Ga 0.0000 0.5000 0.0000 [2 per cell]  2 Nb 2.65
Ir 0.0000 0.0000 0.5000 [1 per cell]  2 Nb 2.32
F 0.5000 0.5000 0.5000 [1 per cell]  8 Ga 3.52, 4 Ir 3.74

---

Record 2
# GdDyIr

An optimized crystal structure of GdDyIr (PBE, Alexandria via LeMat-Bulk).

Summary:
E above lowest polymorph	0.116	eV/atom
theoretical density	10.9	Mg/m³
ΔE_f	-553.8	meV/atom

Unit cell a=3.4915 b=3.4915 c=12.7838 alpha=90.00 beta=90.00 gamma=90.00
Last column: nearest neighbours and their distance in Å.
Space group I4mm (No. 107)
One atom of each set of equivalent atoms:
Gd 0.0000 0.0000 0.0000 [2 per cell]  4 Ir 2.97, 1 Dy 3.24
Dy 0.0000 0.0000 0.2538 [2 per cell]  4 Ir 2.94, 1 Gd 3.24
Ir 0.0000 0.0000 0.6296 [2 per cell]  4 Dy 2.94, 4 Gd 2.97

---

Record 3
# CsAlZnHg2

An optimized crystal structure of CsAlZnHg2 (PBE, Alexandria via LeMat-Bulk).

Summary:
theoretical density	6.5	Mg/m³
ΔE_f	-3.3	meV/atom

Unit cell a=5.5100 b=5.5100 c=5.2332 alpha=90.00 beta=90.00 gamma=90.00
Last column: nearest neighbours and their distance in Å.
Space group P4/mmm (No. 123)
One atom of each set of equivalent atoms:
Cs 0.0000 0.0000 0.0000 [1 per cell]  8 Hg 3.80, 4 Zn 3.90
Al 0.5000 0.5000 0.5000 [1 per cell]  2 Zn 2.62, 4 Hg 2.75
Zn 0.5000 0.5000 0.0000 [1 per cell]  2 Al 2.62
Hg 0.0000 0.5000 0.5000 [2 per cell]  2 Al 2.75

---

Record 4
# Ac4La3Ni2

An optimized crystal structure of Ac4La3Ni2 (PBE, Alexandria via LeMat-Bulk).

Summary:
theoretical density	7.7	Mg/m³
ΔE_f	-122.0	meV/atom

Unit cell a=18.3981 b=3.9455 c=9.6431 alpha=90.00 beta=117.35 gamma=90.00
Last column: nearest neighbours and their distance in Å.
Space group C2/m (No. 12)
One atom of each set of equivalent atoms:
Ac 0.1296 0.0000 0.3900 [4 per cell]  2 Ni 3.85-4.18, 6 La 3.93-4.09, 5 Ac 3.95-4.07
Ac 0.2254 0.5000 0.1420 [4 per cell]  2 Ni 3.06
La 0.0000 0.5000 0.0000 [2 per cell]  4 Ni 2.91
La 0.0773 0.5000 0.7044 [4 per cell]  2 Ni 2.84
Ni 0.0948 0.0000 0.9296 [4 per cell]  4 La 2.84-2.91, 2 Ac 3.06

---

Record 5
# KTlCd3

An optimized crystal structure of KTlCd3 (PBE, Alexandria via LeMat-Bulk).

Summary:
E above lowest polymorph	0.624	eV/atom
theoretical density	4.0	Mg/m³
ΔE_f	567.8	meV/atom

Unit cell a=6.2063 b=6.2063 c=6.2063 alpha=90.00 beta=90.00 gamma=90.00
Last column: nearest neighbours and their distance in Å.
Space group Pm-3m (No. 221)
One atom of each set of equivalent atoms:
K 0.0000 0.0000 0.0000 [1 per cell]  6 Cd 3.10
Tl 0.5000 0.5000 0.5000 [1 per cell]  12 Cd 4.39
Cd 0.0000 0.0000 0.5000 [3 per cell]  2 K 3.10

---

Record 6
# Sm2ZrGe3Pt4

An optimized crystal structure of Sm2ZrGe3Pt4 (PBE, Alexandria via LeMat-Bulk).

Summary:
theoretical density	11.6	Mg/m³
ΔE_f	-951.0	meV/atom

Unit cell a=4.2105 b=4.2105 c=11.2124 alpha=90.00 beta=90.00 gamma=90.00
Last column: nearest neighbours and their distance in Å.
Space group P-4m2 (No. 115)
One atom of each set of equivalent atoms:
Sm 0.0000 0.5000 0.2262 [2 per cell]  4 Ge 3.16, 8 Pt 3.29-3.30
Zr 0.0000 0.0000 0.5000 [1 per cell]  4 Pt 2.68, 4 Ge 2.98
Ge 0.0000 0.5000 0.8679 [2 per cell]  5 Pt 2.46-2.57
Ge 0.5000 0.5000 0.5000 [1 per cell]  4 Pt 2.68, 4 Zr 2.98
Pt 0.0000 0.0000 0.0000 [1 per cell]  4 Ge 2.57
Pt 0.0000 0.5000 0.6486 [2 per cell]  3 Ge 2.46-2.68, 2 Zr 2.68
Pt 0.5000 0.5000 0.0000 [1 per cell]  4 Ge 2.57

---

Record 7
# YScGa3

An optimized crystal structure of YScGa3 (PBE, Alexandria via LeMat-Bulk).

Summary:
E above lowest polymorph	0.733	eV/atom
theoretical density	4.5	Mg/m³
ΔE_f	102.4	meV/atom

Unit cell a=5.0098 b=5.0098 c=5.0098 alpha=90.00 beta=90.00 gamma=90.00
Last column: nearest neighbours and their distance in Å.
Space group Pm-3m (No. 221)
One atom of each set of equivalent atoms:
Y 0.0000 0.0000 0.0000 [1 per cell]  12 Ga 3.54
Sc 0.5000 0.5000 0.5000 [1 per cell]  6 Ga 2.50
Ga 0.0000 0.5000 0.5000 [3 per cell]  2 Sc 2.50

---

Record 8
# HoZrCuS4

An optimized crystal structure of HoZrCuS4 (PBE, Alexandria via LeMat-Bulk).

Summary:
formation energy without anion corrections	-1.44	eV per atom
theoretical density	4.9	Mg/m³

Unit cell a=7.4773 b=7.6306 c=10.7175 alpha=90.00 beta=90.00 gamma=90.00
Last column: nearest neighbours and their distance in Å.
Space group Imma (No. 74)
One atom of each set of equivalent atoms:
Ho 0.0000 0.0000 0.0000 [4 per cell]  6 S 2.69-2.72
Zr 0.2500 0.2500 0.2500 [4 per cell]  6 S 2.57-2.61
Cu 0.0000 0.2500 0.6226 [4 per cell]  4 S 2.32-2.39
S 0.0000 0.0107 0.2541 [8 per cell]  1 Cu 2.39, 2 Zr 2.61
S 0.2461 0.2500 0.4900 [8 per cell]  1 Cu 2.32, 1 Zr 2.57